PBE RbSrSbAu2, relaxed; DOS at the Fermi energy = 0.488 states/eV/atom; total magnetization = 0.394 μB/atom; formation energy (no corrections) = 0.20 eV per formula unit
1.0
-4.2949 -2.5016 -3.3644
-1.9220 -3.4698 5.0336
-3.7864 4.3824 1.5751
Sb Au Rb Sr
1 2 1 1
Cartesian
-0.9610 -1.7349 2.5168
-1.8932 2.1912 0.7876
-2.1474 -1.2508 -1.6822
-5.0017 -0.7945 1.6222
0.0000 0.0000 0.0000


PBE LaPmDy4, relaxed; DOS at the Fermi energy = 2.530 states/eV/atom; E above lowest polymorph = 253 meV per atom; total magnetization = 0.321 μB/atom; energy of formation = 1.67 eV per formula unit
1.0
6.6611 0.0000 0.0000
3.3305 5.7687 0.0000
3.3305 1.9229 5.4388
Pm La Dy
1 1 4
Cartesian
3.3305 1.9229 1.3597
0.0000 0.0000 0.0000
6.6611 3.8458 0.6904
6.6611 1.9328 3.3957
8.3177 4.8022 3.3957
5.0044 4.8022 3.3957


PBE ZrCdOs2, relaxed; DOS at the Fermi energy = 1.281 states/eV/atom; total magnetization = 0.000 μB/atom; energy of formation = 0.90 eV per formula unit
1.0
-1.0609 2.7649 1.5262
-3.0219 -1.3565 0.3569
1.7289 -2.3941 5.5392
Cd Os Zr
1 2 1
Cartesian
-0.7447 -1.0914 5.0959
0.0040 -0.0055 0.0127
0.8605 -1.1916 2.7569
-1.6092 0.1057 2.3263